Record 1
Computed, not measured: crystalline Sm3GaB2Pt8 at its relaxed geometry at the PBE level of DFT.

## Properties
* Fermi-level density of states: 0.452 states/eV/atom
* formation enthalpy at 0 K: -10.7 eV per formula unit

The structure in POSCAR format:
```
Sm3GaB2Pt8
1.0
5.4907 0.0000 0.0000
-2.7454 4.7551 0.0000
0.0000 0.0000 9.6266
Sm Ga B Pt
3 1 2 8
direct
0.3333 0.6667 0.5896
0.6667 0.3333 0.4104
0.0000 0.0000 0.0000
0.0000 0.0000 0.5000
0.3333 0.6667 0.1311
0.6667 0.3333 0.8689
0.3333 0.6667 0.9246
0.6667 0.3333 0.0754
0.1669 0.8331 0.2793
0.8331 0.1669 0.7207
0.1669 0.3337 0.2793
0.8331 0.6663 0.7207
0.6663 0.8331 0.2793
0.3337 0.1669 0.7207
```

Record 2
Computed, not measured: crystalline Sr2GaB3Pt12 at its relaxed geometry at the PBE level of DFT.

## Properties
* Fermi-level density of states: 0.374 states/eV/atom
* formation enthalpy at 0 K: -6.7 eV per formula unit

The structure in POSCAR format:
```
Sr2GaB3Pt12
1.0
7.4932 -0.2611 -0.1852
3.4735 6.6447 -0.1852
3.4735 2.0219 6.3323
Sr Ga B Pt
2 1 3 12
direct
0.6053 0.6053 0.6053
0.3947 0.3947 0.3947
0.0000 0.0000 0.0000
0.5000 0.0000 0.0000
0.0000 0.5000 0.0000
0.0000 0.0000 0.5000
0.3205 0.3205 0.9171
0.8848 0.8848 0.3760
0.3760 0.8848 0.8848
0.9171 0.3205 0.3205
0.8848 0.3760 0.8848
0.3205 0.9171 0.3205
0.6795 0.6795 0.0829
0.1152 0.1152 0.6240
0.6240 0.1152 0.1152
0.0829 0.6795 0.6795
0.1152 0.6240 0.1152
0.6795 0.0829 0.6795
```

Record 3
Computed, not measured: crystalline Tb3GaB2Pt9 at its relaxed geometry at the PBE level of DFT.

## Properties
* Fermi-level density of states: 0.199 states/eV/atom
* formation enthalpy at 0 K: -13.2 eV per formula unit

The structure in POSCAR format:
```
Tb3GaB2Pt9
1.0
5.7384 0.0000 0.0000
-2.8692 4.9696 0.0000
0.0000 0.0000 9.2203
Tb Ga B Pt
3 1 2 9
direct
0.3333 0.6667 0.6058
0.0000 0.0000 0.0000
0.6667 0.3333 0.3942
0.0000 0.0000 0.5000
0.3333 0.6667 0.1494
0.6667 0.3333 0.8506
0.8350 0.1650 0.7115
0.8350 0.6700 0.7115
0.3300 0.1650 0.7115
0.6700 0.8350 0.2885
0.1650 0.3300 0.2885
0.1650 0.8350 0.2885
0.5000 0.0000 0.0000
0.0000 0.5000 0.0000
0.5000 0.5000 0.0000
```

Record 4
Computed, not measured: crystalline Th2GaBPt6 at its relaxed geometry at the PBE level of DFT.

## Properties
* Fermi-level density of states: 0.632 states/eV/atom
* formation enthalpy at 0 K: -9.1 eV per formula unit

The structure in POSCAR format:
```
Th2GaBPt6
1.0
-5.2503 -2.0299 -1.1731
-0.7145 -3.8765 -4.1862
-0.1997 -11.5415 6.7728
Th Ga B Pt
4 2 2 12
direct
0.8917 0.8917 0.3248
0.1083 0.1083 0.6752
0.7234 0.7234 0.8299
0.2766 0.2766 0.1701
0.5813 0.5813 0.2562
0.4187 0.4187 0.7438
0.0000 0.0000 0.0000
0.5000 0.5000 0.5000
0.8828 0.3566 0.4039
0.3566 0.8828 0.4039
0.3566 0.3566 0.4039
0.1172 0.6434 0.5961
0.6434 0.1172 0.5961
0.6434 0.6434 0.5961
0.6971 0.2019 0.8991
0.2019 0.6971 0.8991
0.2019 0.2019 0.8991
0.3029 0.7981 0.1009
0.7981 0.3029 0.1009
0.7981 0.7981 0.1009
```

Record 5
Computed, not measured: crystalline GaBPtW2 at its relaxed geometry at the PBE level of DFT.

## Properties
* Fermi-level density of states: 1.324 states/eV/atom
* formation enthalpy at 0 K: 1.9 eV per formula unit

The structure in POSCAR format:
```
GaBPtW2
1.0
4.2171 0.0000 0.0000
0.0000 4.2171 0.0000
0.0000 0.0000 4.1401
Ga B W Pt
1 1 2 1
direct
0.0000 0.0000 0.5000
0.0000 0.0000 0.0000
0.0000 0.5000 0.0000
0.5000 0.0000 0.0000
0.5000 0.5000 0.5000
```

Record 6
Computed, not measured: crystalline Y2GaBPt6 at its relaxed geometry at the PBE level of DFT.

## Properties
* Fermi-level density of states: 0.147 states/eV/atom
* formation enthalpy at 0 K: -9.3 eV per formula unit

The structure in POSCAR format:
```
Y2GaBPt6
1.0
-1.9492 1.9160 4.9562
4.5235 -4.4412 3.4960
3.4682 2.7274 3.5414
Y Ga B Pt
2 1 1 6
direct
0.7892 0.3680 0.4215
0.2108 0.6320 0.5785
0.5000 0.5000 0.0000
0.0000 0.0000 0.0000
0.2364 0.1961 0.5271
0.7632 0.8043 0.9594
0.2774 0.8043 0.9594
0.7226 0.1957 0.0406
0.2368 0.1957 0.0406
0.7636 0.8039 0.4729
```

Record 7
Computed, not measured: crystalline PuGaB at its relaxed geometry at the PBE level of DFT.

## Properties
* Fermi-level density of states: 1.091 states/eV/atom
* formation enthalpy at 0 K: 0.6 eV per formula unit

The structure in POSCAR format:
```
PuGaB
1.0
3.6563 0.0000 0.0000
1.8282 4.9587 0.0000
1.8282 0.0000 4.7084
B Ga Pu
2 2 2
direct
0.7500 0.5000 0.5000
0.2500 0.5000 0.5000
0.8327 0.3345 0.0000
0.1673 0.6655 0.0000
0.6732 0.0000 0.6536
0.3268 0.0000 0.3464
```

Record 8
Computed, not measured: crystalline Pu2GaB at its relaxed geometry at the PBE level of DFT.

## Properties
* Fermi-level density of states: 2.434 states/eV/atom
* formation enthalpy at 0 K: -0.2 eV per formula unit

The structure in POSCAR format:
```
Pu2GaB
1.0
-0.8534 1.3343 2.6381
-2.7372 0.6810 -1.2299
-2.8128 -6.7672 2.5129
B Ga Pu
1 1 2
direct
0.5000 0.5000 0.0000
0.5000 0.5000 0.5000
0.0000 0.0000 0.7994
0.0000 0.0000 0.2006
```

Record 9
Computed, not measured: crystalline PuGaBRh3 at its relaxed geometry at the PBE level of DFT.

## Properties
* Fermi-level density of states: 1.819 states/eV/atom
* formation enthalpy at 0 K: -2.9 eV per formula unit

The structure in POSCAR format:
```
PuGaBRh3
1.0
-3.5405 -4.5410 -0.2105
3.5870 -2.6330 -3.5320
1.0840 -1.1476 6.5253
Pu Ga B Rh
2 2 2 6
direct
0.7500 0.2549 0.5098
0.2500 0.7451 0.4902
0.2500 0.3739 0.7478
0.7500 0.6261 0.2522
0.2500 0.0024 0.0047
0.7500 0.9976 0.9953
0.2500 0.1769 0.3537
0.0000 0.2531 0.0000
0.5000 0.7469 0.0000
0.5000 0.2531 0.0000
0.0000 0.7469 0.0000
0.7500 0.8231 0.6463
```

Record 10
Computed, not measured: crystalline Pu3Ga2BRu3 at its relaxed geometry at the PBE level of DFT.

## Properties
* Fermi-level density of states: 2.419 states/eV/atom
* formation enthalpy at 0 K: -1.8 eV per formula unit

The structure in POSCAR format:
```
Pu3Ga2BRu3
1.0
-1.2350 2.0479 -2.3941
-2.7930 -5.8429 -3.5572
-4.0478 3.5085 5.0891
Pu Ga B Ru
3 2 1 3
direct
0.0000 0.0000 0.3600
0.0000 0.6400 0.6400
0.0000 0.3600 0.0000
0.5000 0.3333 0.6667
0.5000 0.6667 0.3333
0.0000 0.0000 0.0000
0.5000 0.7788 0.0000
0.5000 0.2212 0.2212
0.5000 0.0000 0.7788
```

Record 11
Computed, not measured: crystalline RbGaB at its relaxed geometry at the PBE level of DFT.

## Properties
* Fermi-level density of states: 0.491 states/eV/atom
* formation enthalpy at 0 K: 0.6 eV per formula unit
* E above lowest polymorph: 0.042 eV/atom

The structure in POSCAR format:
```
RbGaB
1.0
3.1821 0.0000 0.0000
-1.5911 4.3872 0.3948
0.0000 -2.3901 10.8944
Rb B Ga
2 2 2
direct
0.0323 0.0646 0.7009
0.9677 0.9354 0.2991
0.2533 0.5066 0.5000
0.7467 0.4934 0.5000
0.6441 0.2882 0.0367
0.3559 0.7118 0.9633
```

Record 12
Computed, not measured: crystalline RbGa3B at its relaxed geometry at the PBE level of DFT.

## Properties
* Fermi-level density of states: 0.726 states/eV/atom
* formation enthalpy at 0 K: 2.9 eV per formula unit
* E above lowest polymorph: 0.000 eV/atom

The structure in POSCAR format:
```
RbGa3B
1.0
4.7769 0.0000 0.0000
0.0000 4.7769 0.0000
0.0000 0.0000 4.7769
B Ga Rb
1 3 1
direct
0.0000 0.0000 0.0000
0.0000 0.5000 0.0000
0.0000 0.0000 0.5000
0.5000 0.0000 0.0000
0.5000 0.5000 0.5000
```

Record 13
Computed, not measured: crystalline RbGaB at its relaxed geometry at the PBE level of DFT.

## Properties
* Fermi-level density of states: 0.660 states/eV/atom
* formation enthalpy at 0 K: 0.6 eV per formula unit
* E above lowest polymorph: 0.027 eV/atom

The structure in POSCAR format:
```
RbGaB
1.0
-0.2435 -2.0180 -6.8747
13.6788 -0.2809 -0.4021
0.1933 -1.1458 7.3748
B Ga Rb
4 4 4
direct
0.2544 0.5038 0.0350
0.7544 0.4962 0.5350
0.2544 0.0038 0.5350
0.7544 0.9962 0.0350
0.8028 0.0951 0.3366
0.3028 0.9049 0.8366
0.8028 0.5951 0.8366
0.3028 0.4049 0.3366
0.9525 0.6570 0.4286
0.4525 0.3430 0.9286
0.9525 0.1570 0.9286
0.4525 0.8430 0.4286
```

Record 14
Computed, not measured: crystalline RbGaB2 at its relaxed geometry at the PBE level of DFT.

## Properties
* Fermi-level density of states: 0.604 states/eV/atom
* formation enthalpy at 0 K: 4.2 eV per formula unit

The structure in POSCAR format:
```
RbGaB2
1.0
4.7591 0.0000 0.0000
0.0000 4.7591 0.0000
2.3795 2.3795 7.0123
B Ga Rb
4 2 2
direct
0.3750 0.1250 0.2500
0.3750 0.6250 0.2500
0.3750 0.6250 0.7500
0.8750 0.6250 0.7500
0.5000 0.5000 0.0000
0.2500 0.7500 0.5000
0.0000 0.0000 0.0000
0.7500 0.2500 0.5000
```

Record 15
Computed, not measured: crystalline RbGaB at its relaxed geometry at the PBE level of DFT.

## Properties
* Fermi-level density of states: 0.378 states/eV/atom
* formation enthalpy at 0 K: 0.7 eV per formula unit
* E above lowest polymorph: 0.080 eV/atom

The structure in POSCAR format:
```
RbGaB
1.0
14.5004 0.0000 0.0000
0.0000 4.9951 0.0000
0.0000 0.0000 5.2855
B Ga Rb
4 4 4
direct
0.0000 0.1580 0.5000
0.0000 0.8420 0.5000
0.5000 0.6580 0.0000
0.5000 0.3419 0.0000
0.4106 0.0000 0.0000
0.5894 0.0000 0.0000
0.9106 0.5000 0.5000
0.0894 0.5000 0.5000
0.8540 0.0000 0.0000
0.1461 0.0000 0.0000
0.3540 0.5000 0.5000
0.6460 0.5000 0.5000
```

Record 16
Computed, not measured: crystalline RbGaB at its relaxed geometry at the PBE level of DFT.

## Properties
* Fermi-level density of states: 0.204 states/eV/atom
* formation enthalpy at 0 K: 0.7 eV per formula unit
* E above lowest polymorph: 0.076 eV/atom

The structure in POSCAR format:
```
RbGaB
1.0
3.2210 0.0000 -0.0016
0.0000 6.1036 0.0000
-3.2004 0.0000 17.6363
B Ga Rb
4 4 4
direct
0.7619 0.0000 0.2555
0.7619 0.5000 0.7555
0.2874 0.0000 0.2814
0.2874 0.5000 0.7814
0.8904 0.0000 0.3810
0.8904 0.5000 0.8810
0.1599 0.0000 0.1549
0.1599 0.5000 0.6549
0.3393 0.0000 0.8184
0.3393 0.5000 0.3184
0.5656 0.0000 0.5587
0.5656 0.5000 0.0587
```

Record 17
Computed, not measured: crystalline RbGa2B at its relaxed geometry at the PBE level of DFT.

## Properties
* Fermi-level density of states: 0.407 states/eV/atom
* formation enthalpy at 0 K: 1.5 eV per formula unit

The structure in POSCAR format:
```
RbGa2B
1.0
-1.0411 -0.7209 6.6055
1.1648 -6.6023 -0.5370
4.6279 -2.9212 3.8347
B Ga Rb
2 4 2
direct
0.5000 0.5000 0.0000
0.2500 0.7500 0.5000
0.3751 0.1250 0.2500
0.3749 0.6250 0.2500
0.3750 0.6249 0.7500
0.8750 0.6251 0.7500
0.0000 0.0000 0.0000
0.7500 0.2500 0.5000
```

Record 18
Computed, not measured: crystalline RbGa3B at its relaxed geometry at the PBE level of DFT.

## Properties
* Fermi-level density of states: 1.563 states/eV/atom
* formation enthalpy at 0 K: 10.5 eV per formula unit
* E above lowest polymorph: 1.517 eV/atom

The structure in POSCAR format:
```
RbGa3B
1.0
6.0122 0.0000 0.0000
0.0000 6.0122 0.0000
0.0000 0.0000 6.0122
B Ga Rb
1 3 1
direct
0.5000 0.5000 0.5000
0.0000 0.5000 0.0000
0.0000 0.0000 0.5000
0.5000 0.0000 0.0000
0.0000 0.0000 0.0000
```

Record 19
Computed, not measured: crystalline RbGaB at its relaxed geometry at the PBE level of DFT.

## Properties
* Fermi-level density of states: 0.197 states/eV/atom
* formation enthalpy at 0 K: 0.8 eV per formula unit
* E above lowest polymorph: 0.087 eV/atom

The structure in POSCAR format:
```
RbGaB
1.0
-8.2156 8.5100 -1.7085
-1.4306 -2.3951 -5.0509
-3.3891 -2.8115 2.2931
B Ga Rb
4 4 4
direct
0.0000 0.5000 0.3416
0.0000 0.5000 0.6584
0.5000 0.0000 0.3416
0.5000 0.0000 0.6584
0.6093 0.0000 0.0000
0.3907 0.0000 0.0000
0.1093 0.5000 0.0000
0.8907 0.5000 0.0000
0.8452 0.0000 0.5000
0.1548 0.0000 0.5000
0.3452 0.5000 0.5000
0.6548 0.5000 0.5000
```

Record 20
Computed, not measured: crystalline RbGaB at its relaxed geometry at the PBE level of DFT.

## Properties
* Fermi-level density of states: 0.419 states/eV/atom
* formation enthalpy at 0 K: 0.6 eV per formula unit
* E above lowest polymorph: 0.019 eV/atom

The structure in POSCAR format:
```
RbGaB
1.0
-2.1265 -2.3995 0.2639
1.0627 -0.0318 7.1465
-4.4171 5.6432 -2.9500
B Ga Rb
2 2 2
direct
0.9428 0.3952 0.6726
0.4420 0.3951 0.6709
0.2724 0.2169 0.8484
0.5937 0.0401 0.4960
0.8411 0.8625 0.9930
0.0082 0.5415 0.3510
```